(1)
Here is a geometry-optimized Ca3Ga3Ru2 structure from Alexandria via LeMat-Bulk. Energies are from GGA-PBE.

```
Ca3Ga3Ru2
1.0
8.2367 0.0000 0.0000
0.0000 14.7709 0.0000
0.0000 0.0000 5.8379
Ca Ga Ru
12 12 8
Direct
0.0509 0.1076 0.1117
0.0509 0.3924 0.1117
0.2008 0.2500 0.6105
0.2992 0.7500 0.1105
0.4491 0.6076 0.6117
0.4491 0.8924 0.6117
0.5509 0.1076 0.3883
0.5509 0.3924 0.3883
0.7008 0.2500 0.8895
0.7992 0.7500 0.3895
0.9491 0.6076 0.8883
0.9491 0.8924 0.8883
0.1431 0.7500 0.5675
0.1855 0.0403 0.6321
0.1855 0.4597 0.6321
0.3145 0.5403 0.1321
0.3145 0.9597 0.1321
0.3569 0.2500 0.0675
0.6431 0.7500 0.9325
0.6855 0.0403 0.8679
0.6855 0.4597 0.8679
0.8145 0.5403 0.3679
0.8145 0.9597 0.3679
0.8569 0.2500 0.4325
0.1018 0.5951 0.4036
0.1018 0.9049 0.4036
0.3982 0.0951 0.9036
0.3982 0.4049 0.9036
0.6018 0.5951 0.0964
0.6018 0.9049 0.0964
0.8982 0.0951 0.5964
0.8982 0.4049 0.5964
```

space group = Pnma
total magnetization = 0.000 μB per cell
raw total energy = -4.60 eV/atom
energy of formation = -400.2 meV/atom
calculated volume = 710.27 Å³ per cell

=====

(2)
Here is a geometry-optimized Ba6Sn2Au structure from Alexandria via LeMat-Bulk. Energies are from GGA-PBE.

```
Ba6Sn2Au
1.0
8.0105 0.0000 0.0000
0.0000 9.2298 0.0000
-7.6826 0.0000 11.6434
Ba Sn Au
12 4 2
Direct
0.1102 0.1793 0.4377
0.1102 0.3207 0.9377
0.2745 0.6788 0.4358
0.2745 0.8212 0.9358
0.3858 0.0375 0.2603
0.3858 0.4625 0.7603
0.6142 0.5375 0.2397
0.6142 0.9625 0.7397
0.7255 0.1788 0.0642
0.7255 0.3212 0.5642
0.8898 0.6793 0.0623
0.8898 0.8207 0.5623
0.2034 0.1066 0.7443
0.2034 0.3934 0.2443
0.7966 0.6066 0.7557
0.7966 0.8934 0.2557
0.0000 0.0000 0.0000
0.0000 0.5000 0.5000
```

space group = P2_1/c
total magnetization = 0.000 μB per cell
raw total energy = -3.03 eV/atom
energy of formation = -495.7 meV/atom
calculated volume = 860.86 Å³ per cell

=====

(3)
Here is a geometry-optimized Tb3Er8Tm3 structure from Alexandria via LeMat-Bulk. Energies are from GGA-PBE.

```
Tb3Er8Tm3
1.0
-2.7715 5.3274 7.3609
2.7715 -5.3274 7.3609
2.7715 5.3274 -7.3609
Tb Er Tm
3 8 3
Direct
0.0000 0.0000 0.0000
0.1810 0.6810 0.5000
0.8190 0.3190 0.5000
0.1192 0.2783 0.8409
0.2388 0.8965 0.3423
0.4374 0.2783 0.1591
0.4458 0.1035 0.3423
0.5542 0.8965 0.6577
0.5626 0.7217 0.8409
0.7612 0.1035 0.6577
0.8808 0.7217 0.1591
0.2037 0.5000 0.7037
0.5000 0.5000 0.0000
0.7963 0.5000 0.2963
```

space group = Immm
total magnetization = 0.000 μB per cell
raw total energy = -4.44 eV/atom
energy of formation = 117.3 meV/atom
calculated volume = 434.74 Å³ per cell

=====

(4)
Here is a geometry-optimized YMg6BiO8 structure from Alexandria via LeMat-Bulk. Energies are from GGA-PBE.

```
YMg6BiO8
1.0
4.5106 0.0000 0.0000
0.0000 4.5106 0.0000
0.0000 0.0000 9.9598
Y Mg Bi O
1 6 1 8
Direct
0.0000 0.0000 0.0000
0.0000 0.0000 0.5000
0.0000 0.5000 0.2891
0.0000 0.5000 0.7109
0.5000 0.0000 0.2891
0.5000 0.0000 0.7109
0.5000 0.5000 0.5000
0.5000 0.5000 0.0000
0.0000 0.0000 0.2592
0.0000 0.0000 0.7408
0.0000 0.5000 0.0000
0.0000 0.5000 0.5000
0.5000 0.0000 0.0000
0.5000 0.0000 0.5000
0.5000 0.5000 0.3023
0.5000 0.5000 0.6977
```

space group = P4/mmm
raw formation energy = -49.65 kcal/mol of atoms
total magnetization = 0.000 μB per cell
raw total energy = -5.88 eV/atom
calculated volume = 202.63 Å³ per cell

=====

(5)
Here is a geometry-optimized ScAl2VS structure from Alexandria via LeMat-Bulk. Energies are from GGA-PBE.

```
ScAl2VS
1.0
4.6395 0.0000 0.0000
0.0000 4.6395 0.0000
0.0000 0.0000 4.6995
Sc Al V S
1 2 1 1
Direct
0.0000 0.0000 0.0000
0.0000 0.5000 0.5000
0.5000 0.0000 0.5000
0.5000 0.5000 0.0000
0.0000 0.0000 0.5000
```

space group = P4/mmm
raw formation energy = 5.89 kcal/mol of atoms
total magnetization = 3.057 μB per cell
raw total energy = -5.16 eV/atom
calculated volume = 101.16 Å³ per cell

=====

(6)
Here is a geometry-optimized BeCu2W structure from Alexandria via LeMat-Bulk. Energies are from GGA-PBE.

```
BeCu2W
1.0
0.0000 2.9216 2.9216
2.9216 0.0000 2.9216
2.9216 2.9216 0.0000
Be Cu W
1 2 1
Direct
0.0000 0.0000 0.0000
0.2500 0.2500 0.2500
0.7500 0.7500 0.7500
0.5000 0.5000 0.5000
```

space group = Fm-3m
total magnetization = 0.000 μB per cell
raw total energy = -5.75 eV/atom
energy of formation = 469.7 meV/atom
calculated volume = 49.88 Å³ per cell